(1)
A plane-wave DFT calculation with PBE was carried out for AsRhWSe2 after structural relaxation.

POSCAR file:
```
AsRhWSe2
1.0
4.8444 0.0000 0.0000
0.0000 4.8444 0.0000
0.0000 0.0000 4.9000
As Rh Se W
1 1 2 1
Direct
0.0000 0.0000 0.5000
0.5000 0.5000 0.5000
0.0000 0.5000 0.0000
0.5000 0.0000 0.0000
0.0000 0.0000 0.0000
```

Results
**Theoretical density**: 7.50 Mg/m³
**E_form (uncorrected)**: 4.297 eV/f.u.
**Electronic total energy**: -5.53 eV/atom
**Energy relative to the lowest polymorph listed for this composition**: 0 meV/atom

***

(2)
A plane-wave DFT calculation with PBE was carried out for YAsRhSe2 after structural relaxation.

POSCAR file:
```
YAsRhSe2
1.0
-0.7578 -0.1058 5.0062
0.8197 -4.9975 0.0185
4.4560 0.7334 0.6900
Y As Rh Se
1 1 1 2
Direct
0.5000 0.5000 0.5000
0.0000 0.0000 0.5000
0.0000 0.0000 0.0000
0.0000 0.5000 0.0000
0.5000 0.0000 0.0000
```

Results
**Theoretical density**: 6.02 Mg/m³
**E_form (uncorrected)**: -1.983 eV/f.u.
**Electronic total energy**: -5.48 eV/atom
**Energy relative to the lowest polymorph listed for this composition**: 0 meV/atom

***

(3)
A plane-wave DFT calculation with PBE was carried out for YAsRhSe2 after structural relaxation.

POSCAR file:
```
YAsRhSe2
1.0
5.3543 0.0000 0.0000
0.0000 5.3543 0.0000
0.0000 0.0000 5.4359
Y As Rh Se
1 1 1 2
Direct
0.0000 0.0000 0.0000
0.0000 0.0000 0.5000
0.5000 0.5000 0.5000
0.0000 0.5000 0.0000
0.5000 0.0000 0.0000
```

Results
**Theoretical density**: 4.52 Mg/m³
**E_form (uncorrected)**: 2.696 eV/f.u.
**Electronic total energy**: -4.55 eV/atom
**Energy relative to the lowest polymorph listed for this composition**: 936 meV/atom